Arrangement one

# MgScCdSn (PBE, optimized geometry)
# Density of states at the Fermi level, states/eV/f.u.: 2.9
# Magnetization, μB/cell: 0.0
data_MgScCdSn
_space_group_name_H-M_alt 'F -4 3 m'
_space_group_IT_number 216
_space_group_name_Hall 'F -4 2 3'
_cell_length_a 7.100
_cell_length_b 7.100
_cell_length_c 7.100
_cell_angle_alpha 90.00
_cell_angle_beta 90.00
_cell_angle_gamma 90.00
loop_
_atom_site_label
_atom_site_type_symbol
_atom_site_fract_x
_atom_site_fract_y
_atom_site_fract_z
_atom_site_occupancy
Mg1 Mg 0.000 0.000 0.000 1
Sc1 Sc 0.000 0.000 0.500 1
Cd1 Cd 0.250 0.250 0.250 1
Sn1 Sn 0.250 0.250 0.750 1

Arrangement two

# MgScCdSn (PBE, optimized geometry)
# Density of states at the Fermi level, states/eV/f.u.: 1.5
# Magnetization, μB/cell: 0.0
data_MgScCdSn
_space_group_name_H-M_alt 'P m m m'
_space_group_IT_number 47
_space_group_name_Hall '-P 2 2'
_cell_length_a 4.250
_cell_length_b 4.413
_cell_length_c 4.665
_cell_angle_alpha 90.00
_cell_angle_beta 90.00
_cell_angle_gamma 90.00
loop_
_atom_site_label
_atom_site_type_symbol
_atom_site_fract_x
_atom_site_fract_y
_atom_site_fract_z
_atom_site_occupancy
Mg1 Mg 0.000 0.000 0.000 1
Sc1 Sc 0.000 0.500 0.500 1
Cd1 Cd 0.500 0.500 0.000 1
Sn1 Sn 0.500 0.000 0.500 1

Verdict on stability: arrangement one comes out at the bottom.

Arrangement one

# ThMgScCd (PBE, optimized geometry)
# Density of states at the Fermi level, states/eV/f.u.: 2.9
# Magnetization, μB/cell: 0.0
data_ThMgScCd
_space_group_name_H-M_alt 'P 4 m m'
_space_group_IT_number 99
_space_group_name_Hall 'P 4 -2'
_cell_length_a 3.420
_cell_length_b 3.420
_cell_length_c 8.691
_cell_angle_alpha 90.00
_cell_angle_beta 90.00
_cell_angle_gamma 90.00
loop_
_atom_site_label
_atom_site_type_symbol
_atom_site_fract_x
_atom_site_fract_y
_atom_site_fract_z
_atom_site_occupancy
Th1 Th 0.000 0.000 0.000 1
Mg1 Mg 0.500 0.500 0.296 1
Sc1 Sc 0.500 0.500 0.727 1
Cd1 Cd 0.000 0.000 0.507 1

Arrangement two

# ThMgScCd (PBE, optimized geometry)
# Density of states at the Fermi level, states/eV/f.u.: 3.6
# Magnetization, μB/cell: 0.0
data_ThMgScCd
_space_group_name_H-M_alt 'F -4 3 m'
_space_group_IT_number 216
_space_group_name_Hall 'F -4 2 3'
_cell_length_a 7.437
_cell_length_b 7.437
_cell_length_c 7.437
_cell_angle_alpha 90.00
_cell_angle_beta 90.00
_cell_angle_gamma 90.00
loop_
_atom_site_label
_atom_site_type_symbol
_atom_site_fract_x
_atom_site_fract_y
_atom_site_fract_z
_atom_site_occupancy
Th1 Th 0.000 0.000 0.000 1
Mg1 Mg 0.250 0.250 0.750 1
Sc1 Sc 0.000 0.000 0.500 1
Cd1 Cd 0.250 0.250 0.250 1

Verdict on stability: arrangement two comes out at the bottom.

Arrangement one

# Mg2CdSe2 (PBE, optimized geometry)
# Density of states at the Fermi level, states/eV/f.u.: 0.6
# Magnetization, μB/cell: 0.0
data_Mg2CdSe2
_space_group_name_H-M_alt 'P 4/m b m'
_space_group_IT_number 127
_space_group_name_Hall '-P 4 2ab'
_cell_length_a 7.801
_cell_length_b 7.801
_cell_length_c 3.580
_cell_angle_alpha 90.00
_cell_angle_beta 90.00
_cell_angle_gamma 90.00
loop_
_atom_site_label
_atom_site_type_symbol
_atom_site_fract_x
_atom_site_fract_y
_atom_site_fract_z
_atom_site_occupancy
Mg1 Mg 0.143 0.357 0.000 1
Cd1 Cd 0.000 0.000 0.000 1
Se1 Se 0.155 0.655 0.500 1

Arrangement two

# Mg2CdSe2 (PBE, optimized geometry)
# Density of states at the Fermi level, states/eV/f.u.: 0.0
# Magnetization, μB/cell: 0.0
data_Mg2CdSe2
_space_group_name_H-M_alt 'I 4/m m m'
_space_group_IT_number 139
_space_group_name_Hall '-I 4 2'
_cell_length_a 5.243
_cell_length_b 5.243
_cell_length_c 13.090
_cell_angle_alpha 90.00
_cell_angle_beta 90.00
_cell_angle_gamma 90.00
loop_
_atom_site_label
_atom_site_type_symbol
_atom_site_fract_x
_atom_site_fract_y
_atom_site_fract_z
_atom_site_occupancy
Mg1 Mg 0.000 0.000 0.236 1
Cd1 Cd 0.000 0.000 0.000 1
Se1 Se 0.000 0.500 0.250 1

Verdict on stability: arrangement one comes out at the bottom.

Arrangement one

# MgCdSe (PBE, optimized geometry)
# Magnetization, μB/cell: 0.0
data_MgCdSe
_space_group_name_H-M_alt 'C 1 m 1'
_space_group_IT_number 8
_space_group_name_Hall 'C -2y'
_cell_length_a 7.576
_cell_length_b 4.341
_cell_length_c 11.806
_cell_angle_alpha 90.00
_cell_angle_beta 99.99
_cell_angle_gamma 90.00
loop_
_atom_site_label
_atom_site_type_symbol
_atom_site_fract_x
_atom_site_fract_y
_atom_site_fract_z
_atom_site_occupancy
Mg1 Mg 0.000 0.000 0.000 1
Mg2 Mg 0.117 0.500 0.814 1
Cd1 Cd 0.162 0.000 0.485 1
Cd2 Cd 0.452 0.000 0.327 1
Se1 Se 0.180 0.500 0.047 1
Se2 Se 0.436 0.500 0.767 1

Arrangement two

# MgCdSe (PBE, optimized geometry)
# Magnetization, μB/cell: 0.0
data_MgCdSe
_space_group_name_H-M_alt 'F m m 2'
_space_group_IT_number 42
_space_group_name_Hall 'F 2 -2'
_cell_length_a 5.236
_cell_length_b 5.245
_cell_length_c 12.616
_cell_angle_alpha 90.00
_cell_angle_beta 90.00
_cell_angle_gamma 90.00
loop_
_atom_site_label
_atom_site_type_symbol
_atom_site_fract_x
_atom_site_fract_y
_atom_site_fract_z
_atom_site_occupancy
Mg1 Mg 0.000 0.000 0.000 1
Cd1 Cd 0.000 0.000 0.774 1
Se1 Se 0.000 0.000 0.552 1

Verdict on stability: arrangement two comes out at the bottom.